1.
Computed, not measured: an optimized crystal structure of Dy4AgRhAu2 at the PBE level of DFT.

## Properties
**Space group**: R-3m (166)
**Magnetic moment**: 0.000 μB per atom
**Final energy**: -5.12 eV/atom

a b c (Å): 8.6988 8.6988 8.6988
angles (deg): 33.79 33.79 33.79
Sites, in units of the cell vectors:
Dy: 0.1188 0.1188 0.1188
Dy: 0.3698 0.3698 0.3698
Dy: 0.6302 0.6302 0.6302
Dy: 0.8812 0.8812 0.8812
Ag: 0.5000 0.5000 0.5000
Rh: 0.0000 0.0000 0.0000
Au: 0.2433 0.2433 0.2433
Au: 0.7567 0.7567 0.7567

2.
Computed, not measured: an optimized crystal structure of Ho4Hg2Pt at the PBE level of DFT.

## Properties
**Space group**: R-3m (166)
**Magnetic moment**: 0.000 μB per atom
**Final energy**: -4.11 eV/atom

a b c (Å): 8.8356 8.8356 8.8356
angles (deg): 33.43 33.43 33.43
Sites, in units of the cell vectors:
Ho: 0.1195 0.1195 0.1195
Ho: 0.3708 0.3708 0.3708
Ho: 0.6292 0.6292 0.6292
Ho: 0.8805 0.8805 0.8805
Hg: 0.2417 0.2417 0.2417
Hg: 0.7583 0.7583 0.7583
Pt: 0.0000 0.0000 0.0000